# KMg5Pb6 (GGA-PBE, optimized geometry)
data_KMg5Pb6
_chemical_formula_sum 'K1 Mg5 Pb6'
_cell_length_a 4.869
_cell_length_b 8.757
_cell_length_c 9.308
_cell_angle_alpha 118.02
_cell_angle_beta 104.34
_cell_angle_gamma 89.99
_symmetry_space_group_name_H-M 'P 1'
_symmetry_Int_Tables_number 1
_symmetry_space_group_name_Hall 'P 1'
loop_
_atom_site_label
_atom_site_type_symbol
_atom_site_fract_x
_atom_site_fract_y
_atom_site_fract_z
K1 K 0.000 0.000 0.000
Mg1 Mg 0.679 0.672 0.345
Mg2 Mg 0.678 0.180 0.359
Mg3 Mg 0.322 0.820 0.641
Mg4 Mg 0.321 0.328 0.655
Mg5 Mg 0.000 0.500 0.000
Pb1 Pb 0.826 0.086 0.659
Pb2 Pb 0.174 0.914 0.341
Pb3 Pb 0.174 0.427 0.341
Pb4 Pb 0.500 0.289 0.001
Pb5 Pb 0.500 0.711 0.999
Pb6 Pb 0.826 0.573 0.659
# * space-group type: P-1
# * energy: -2.6588 eV/atom
# * energy of formation: -0.05 eV/atom

=====

# Ba3Sn4Ge2 (GGA-PBE, optimized geometry)
data_Ba3Sn4Ge2
_chemical_formula_sum 'Ba3 Sn4 Ge2'
_cell_length_a 4.667
_cell_length_b 7.068
_cell_length_c 11.091
_cell_angle_alpha 64.10
_cell_angle_beta 77.85
_cell_angle_gamma 70.72
_symmetry_space_group_name_H-M 'P 1'
_symmetry_Int_Tables_number 1
_symmetry_space_group_name_Hall 'P 1'
loop_
_atom_site_label
_atom_site_type_symbol
_atom_site_fract_x
_atom_site_fract_y
_atom_site_fract_z
Ge1 Ge 0.612 0.051 0.726
Ge2 Ge 0.388 0.949 0.274
Ba1 Ba 0.000 0.000 0.000
Ba2 Ba 0.330 0.679 0.661
Ba3 Ba 0.670 0.321 0.339
Sn1 Sn 0.720 0.626 0.933
Sn2 Sn 0.053 0.277 0.617
Sn3 Sn 0.947 0.723 0.383
Sn4 Sn 0.280 0.374 0.067
# * space-group type: C2/m
# * energy: -3.9423 eV/atom
# * energy of formation: -0.50 eV/atom

=====

Copy entry 1 word for word.
# KMg5Pb6 (GGA-PBE, optimized geometry)
data_KMg5Pb6
_chemical_formula_sum 'K1 Mg5 Pb6'
_cell_length_a 4.869
_cell_length_b 8.757
_cell_length_c 9.308
_cell_angle_alpha 118.02
_cell_angle_beta 104.34
_cell_angle_gamma 89.99
_symmetry_space_group_name_H-M 'P 1'
_symmetry_Int_Tables_number 1
_symmetry_space_group_name_Hall 'P 1'
loop_
_atom_site_label
_atom_site_type_symbol
_atom_site_fract_x
_atom_site_fract_y
_atom_site_fract_z
K1 K 0.000 0.000 0.000
Mg1 Mg 0.679 0.672 0.345
Mg2 Mg 0.678 0.180 0.359
Mg3 Mg 0.322 0.820 0.641
Mg4 Mg 0.321 0.328 0.655
Mg5 Mg 0.000 0.500 0.000
Pb1 Pb 0.826 0.086 0.659
Pb2 Pb 0.174 0.914 0.341
Pb3 Pb 0.174 0.427 0.341
Pb4 Pb 0.500 0.289 0.001
Pb5 Pb 0.500 0.711 0.999
Pb6 Pb 0.826 0.573 0.659
# * space-group type: P-1
# * energy: -2.6588 eV/atom
# * energy of formation: -0.05 eV/atom

=====

Repeat the second record exactly.
# Ba3Sn4Ge2 (GGA-PBE, optimized geometry)
data_Ba3Sn4Ge2
_chemical_formula_sum 'Ba3 Sn4 Ge2'
_cell_length_a 4.667
_cell_length_b 7.068
_cell_length_c 11.091
_cell_angle_alpha 64.10
_cell_angle_beta 77.85
_cell_angle_gamma 70.72
_symmetry_space_group_name_H-M 'P 1'
_symmetry_Int_Tables_number 1
_symmetry_space_group_name_Hall 'P 1'
loop_
_atom_site_label
_atom_site_type_symbol
_atom_site_fract_x
_atom_site_fract_y
_atom_site_fract_z
Ge1 Ge 0.612 0.051 0.726
Ge2 Ge 0.388 0.949 0.274
Ba1 Ba 0.000 0.000 0.000
Ba2 Ba 0.330 0.679 0.661
Ba3 Ba 0.670 0.321 0.339
Sn1 Sn 0.720 0.626 0.933
Sn2 Sn 0.053 0.277 0.617
Sn3 Sn 0.947 0.723 0.383
Sn4 Sn 0.280 0.374 0.067
# * space-group type: C2/m
# * energy: -3.9423 eV/atom
# * energy of formation: -0.50 eV/atom

=====

Q: Among the records above, which one has the highest energy?
A: KMg5Pb6

=====

Q: What is the formula in the first record?
A: KMg5Pb6